(1)
Here is a geometry-optimized Gd2DyH structure from Alexandria. Energies are from PBE.

Unit cell a=3.350 b=3.350 c=8.558 alpha=90.00 beta=90.00 gamma=90.00
Each line ends with the local moment (μB).
Atoms (fractional coordinates):
H 0.500 0.500 0.000  -0.03
Dy 0.500 0.500 0.500  -0.17
Gd 0.000 0.000 0.812  7.25
Gd 0.000 0.000 0.188  7.25

Summary:
total magnetic moment	14.7	μB per formula unit
symmetry	No. 123
E above lowest polymorph	0.254	eV per atom

=====

(2)
Here is a geometry-optimized Gd2DyHf structure from Alexandria. Energies are from PBE.

Unit cell a=3.416 b=3.416 c=9.901 alpha=90.00 beta=90.00 gamma=90.00
Each line ends with the local moment (μB).
Atoms (fractional coordinates):
Dy 0.500 0.500 0.500  -0.09
Hf 0.500 0.500 0.000  -0.09
Gd 0.000 0.000 0.769  7.11
Gd 0.000 0.000 0.231  7.11

Summary:
total magnetic moment	14.3	μB per formula unit
symmetry	No. 123
E above lowest polymorph	0.000	eV per atom
calculated formation energy	0.47	eV per formula unit

=====

(3)
Here is a geometry-optimized GdDyHf structure from Alexandria. Energies are from PBE.

Unit cell a=3.388 b=3.388 c=8.462 alpha=90.00 beta=90.00 gamma=120.00
Each line ends with the local moment (μB).
Atoms (fractional coordinates):
Hf 0.667 0.333 0.332  -0.06
Dy 0.000 0.000 0.023  0.06
Gd 0.333 0.667 0.645  7.14

Summary:
total magnetic moment	7.3	μB per formula unit
symmetry	No. 156
E above lowest polymorph	0.015	eV per atom
calculated formation energy	0.42	eV per formula unit

=====

(4)
Here is a geometry-optimized GdDyHf structure from Alexandria. Energies are from PBE.

Unit cell a=3.359 b=3.359 c=7.851 alpha=102.35 beta=102.35 gamma=90.00
Each line ends with the local moment (μB).
Atoms (fractional coordinates):
Dy 0.320 0.320 0.640  0.07
Gd 0.012 0.012 0.024  7.16
Hf 0.668 0.668 0.337  -0.02

Summary:
total magnetic moment	7.4	μB per formula unit
symmetry	No. 107
E above lowest polymorph	0.000	eV per atom
calculated formation energy	0.37	eV per formula unit

=====

(5)
Here is a geometry-optimized Gd2DyHf structure from Alexandria. Energies are from PBE.

Unit cell a=3.426 b=3.426 c=11.530 alpha=81.46 beta=81.46 gamma=60.00
Each line ends with the local moment (μB).
Atoms (fractional coordinates):
Gd 0.256 0.256 0.233  7.12
Gd 0.744 0.744 0.767  7.12
Dy 0.500 0.500 0.500  -0.09
Hf 0.000 0.000 0.000  -0.13

Summary:
total magnetic moment	14.3	μB per formula unit
symmetry	No. 166
E above lowest polymorph	0.011	eV per atom
calculated formation energy	0.51	eV per formula unit

=====

(6)
Here is a geometry-optimized GdDy2Hf structure from Alexandria. Energies are from PBE.

Unit cell a=5.486 b=5.486 c=5.484 alpha=59.99 beta=59.99 gamma=60.00
Each line ends with the local moment (μB).
Atoms (fractional coordinates):
Hf 0.000 0.000 0.000  0.69
Dy 0.250 0.250 0.250  0.41
Dy 0.750 0.750 0.750  0.41
Gd 0.500 0.500 0.500  7.29

Summary:
total magnetic moment	9.8	μB per formula unit
symmetry	No. 225
E above lowest polymorph	0.139	eV per atom
calculated formation energy	1.11	eV per formula unit

=====

Number 1: electronic total energy -35.80 eV for the cell shown. Number 2: electronic total energy -42.25 eV for the cell shown. Number 3: electronic total energy -28.22 eV for the cell shown. Number 4: electronic total energy -28.27 eV for the cell shown. Number 5: electronic total energy -42.21 eV for the cell shown. Number 6: electronic total energy -32.13 eV for the cell shown.